Entry 1:
Here is a geometry-optimized PrTmMg2Pd4 structure from the Alexandria database. Energies are from PBE.

Cell lengths 4.6085, 4.6085, 26.3673 Å; angles 90.00, 90.00, 120.00 degrees
Last column: nearest neighbours and their distance in Å.
Space group R-3m (No. 166, hexagonal axes)
Inequivalent atoms, fractional coordinates:
Pr  0.0000  0.0000  0.0000 x3  8 Pd 3.11-3.19
Tm  0.0000  0.0000  0.5000 x3  8 Pd 2.79-2.92
Mg  0.0000  0.0000  0.2438 x6  6 Pd 2.77-2.79
Pd  0.0000  0.0000  0.1210 x6  3 Mg 2.79, 3 Tm 2.92, 3 Pd 3.10
Pd  0.0000  0.0000  0.3941 x6  3 Mg 2.77, 1 Tm 2.79, 3 Pd 3.10

Values from the calculation:
* formation enthalpy at 0 K: -74.3 kJ per mole of atoms

Entry 2:
Here is a geometry-optimized Pr2MgZnPd6 structure from the Alexandria database. Energies are from PBE.

Cell lengths 5.7103, 5.7103, 24.1317 Å; angles 90.00, 90.00, 120.00 degrees
Last column: nearest neighbours and their distance in Å.
Space group R-3m (No. 166, hexagonal axes)
Inequivalent atoms, fractional coordinates:
Pr  0.0000  0.0000  0.2060 x6  9 Pd 3.00-3.26
Mg  0.0000  0.0000  0.0000 x3  6 Pd 2.68
Zn  0.0000  0.0000  0.5000 x3  6 Pd 2.52
Pd  0.0056  0.5028  0.7554 x18  1 Zn 2.52, 1 Mg 2.68, 2 Pd 2.81

Values from the calculation:
* formation enthalpy at 0 K: -51.5 kJ per mole of atoms